A plane-wave DFT calculation with PBE-GGA was carried out for an optimized crystal structure of Tb3Ce2Nd6Dy.

Lattice parameters (Å, degrees): 6.265 6.265 11.948 95.03 95.03 120.01
Fractional coordinates of all 12 atoms:
Tb: 0.166 0.834 0.500
Tb: 0.834 0.166 0.500
Tb: 0.500 0.500 0.500
Ce: 0.333 0.667 0.000
Ce: 0.667 0.333 0.000
Nd: 0.917 0.581 0.751
Nd: 0.748 0.748 0.249
Nd: 0.083 0.419 0.249
Nd: 0.581 0.917 0.751
Nd: 0.252 0.252 0.751
Nd: 0.419 0.083 0.249
Dy: 0.000 0.000 0.000

Values from the calculation:
Total moment: 2.2 μB/cell
Space group: C2/m, No. 12
Energy relative to the elements: 1.25 kcal/mol of atoms